1.
! HRuRh2 | Alexandria | PBE | relaxed; values from VASP
&SYSTEM
  ibrav = 0, nat = 4, ntyp = 3
/
ATOMIC_SPECIES
H 1.01 H.upf
Ru 101.07 Ru.upf
Rh 102.91 Rh.upf
CELL_PARAMETERS angstrom
2.697 0.000 0.000
0.000 2.697 0.000
0.000 0.000 6.337
ATOMIC_POSITIONS angstrom
H 0.000 0.000 0.000
Ru 0.000 0.000 3.169
Rh 1.349 1.349 1.306
Rh 1.349 1.349 5.031
! Excess energy over the best structure of this formula in the dataset in meV/atom: 183
! Symmetry: P4/mmm

2.
! AgC2 | Alexandria | PBE | relaxed; values from VASP
&SYSTEM
  ibrav = 0, nat = 12, ntyp = 2
/
ATOMIC_SPECIES
Ag 107.87 Ag.upf
C 12.01 C.upf
CELL_PARAMETERS angstrom
2.647 0.000 0.000
0.000 8.277 0.000
0.000 0.000 9.165
ATOMIC_POSITIONS angstrom
Ag 0.000 2.069 1.039
Ag 0.000 6.207 8.126
Ag 1.324 2.069 3.544
Ag 1.324 6.207 5.621
C 0.000 2.069 5.160
C 0.000 2.069 6.497
C 0.000 6.207 2.667
C 0.000 6.207 4.005
C 1.324 2.069 7.250
C 1.324 2.069 8.587
C 1.324 6.207 0.577
C 1.324 6.207 1.915
! Excess energy over the best structure of this formula in the dataset in meV/atom: 785
! Energy of formation in meV per atom: 1118
! Symmetry: Imma

3.
! Pr4ErSc | Alexandria | PBE | relaxed; values from VASP
&SYSTEM
  ibrav = 0, nat = 12, ntyp = 3
/
ATOMIC_SPECIES
Pr 140.91 Pr.upf
Er 167.26 Er.upf
Sc 44.96 Sc.upf
CELL_PARAMETERS angstrom
11.548 0.000 0.000
0.000 11.589 0.000
0.000 0.000 3.482
ATOMIC_POSITIONS angstrom
Pr 0.000 2.703 0.000
Pr 0.000 8.886 0.000
Pr 2.827 5.795 1.741
Pr 2.947 0.000 1.741
Pr 5.774 3.092 0.000
Pr 5.774 8.497 0.000
Pr 8.601 0.000 1.741
Pr 8.720 5.795 1.741
Er 0.000 5.795 0.000
Er 5.774 0.000 0.000
Sc 0.000 0.000 1.741
Sc 5.774 5.795 1.741
! Excess energy over the best structure of this formula in the dataset in meV/atom: 527
! Energy of formation in meV per atom: 562
! Symmetry: Cmmm

4.
! ScTc2Ir | Alexandria | PBE | relaxed; values from VASP
&SYSTEM
  ibrav = 0, nat = 4, ntyp = 3
/
ATOMIC_SPECIES
Sc 44.96 Sc.upf
Tc 98.00 Tc.upf
Ir 192.22 Ir.upf
CELL_PARAMETERS angstrom
3.096 0.000 0.000
0.000 4.365 0.000
0.000 0.000 4.628
ATOMIC_POSITIONS angstrom
Sc 0.000 0.000 0.000
Tc 0.000 2.182 2.314
Tc 1.548 0.000 2.314
Ir 1.548 2.182 0.000
! Excess energy over the best structure of this formula in the dataset in meV/atom: 0
! Energy of formation in meV per atom: -193
! Symmetry: Pmmm

| no. | total energy (eV per cell) |
| --- | --- |
| 1 | -26.42 |
| 2 | -71.78 |
| 3 | -53.28 |
| 4 | -36.70 |